[1]
# Tl2CrPb

A relaxed Tl2CrPb crystal (PBEsol, Alexandria via LeMat-Bulk).

Structure (CIF):
```
data_Tl2CrPb
_chemical_formula_sum 'Tl4 Cr2 Pb2'
_cell_length_a 6.175
_cell_length_b 11.078
_cell_length_c 3.374
_cell_angle_alpha 90.00
_cell_angle_beta 120.01
_cell_angle_gamma 90.00
_symmetry_space_group_name_H-M 'C 1 2/m 1'
_symmetry_Int_Tables_number 12
loop_
_symmetry_equiv_pos_as_xyz
'x,y,z'
'-x,-y,-z'
'-x,y,-z'
'x,-y,z'
'x+1/2,y+1/2,z'
'-x+1/2,-y+1/2,-z'
'-x+1/2,y+1/2,-z'
'x+1/2,-y+1/2,z'
loop_
_atom_site_label
_atom_site_fract_x
_atom_site_fract_y
_atom_site_fract_z
_atom_site_occupancy
Tl1 0.250 0.250 0.000 1
Cr1 0.000 0.000 0.500 1
Pb1 0.000 0.500 0.500 1
```

Properties
Energy relative to the elements = 0.5145 eV/atom
Calculated density = 11.1 g/cm3
Total magnetization = 8.42 Bohr magnetons per cell
Energy relative to the lowest polymorph listed for this composition = 75 meV per atom

***

[2]
# SnSbOF2

A relaxed SnSbOF2 crystal (PBEsol, Alexandria via LeMat-Bulk).

Structure (CIF):
```
data_SnSbOF2
_chemical_formula_sum 'Sn1 Sb1 O1 F2'
_cell_length_a 4.460
_cell_length_b 4.460
_cell_length_c 4.115
_cell_angle_alpha 90.00
_cell_angle_beta 90.00
_cell_angle_gamma 90.00
_symmetry_space_group_name_H-M 'P 4/m m m'
_symmetry_Int_Tables_number 123
_symmetry_space_group_name_Hall '-P 4 2'
loop_
_atom_site_label
_atom_site_fract_x
_atom_site_fract_y
_atom_site_fract_z
_atom_site_occupancy
Sn1 0.000 0.000 0.000 1
Sb1 0.500 0.500 0.500 1
O1 0.000 0.000 0.500 1
F1 0.000 0.500 0.000 1
```

Properties
Calculated density = 6.0 g/cm3
Total magnetization = 0.85 Bohr magnetons per cell
Formation energy (no corrections) = -1054.2 meV per atom